[1]
Compound: Ba2LaNpSe6
Source: the Alexandria database
Functional: PBE
Structure: relaxed

## Properties
**Space group**: P2_1/c
**Total energy**: -118.27 eV for the cell shown
**Uncorrected formation energy**: -159 kJ per mole of atoms

Lattice parameters (Å, degrees): 7.535 8.013 13.255 90.00 124.26 90.00
Sites, in units of the cell vectors:
Ba1 0.225 0.076 0.250
Ba2 0.225 0.424 0.750
Ba3 0.775 0.576 0.250
Ba4 0.775 0.924 0.750
La1 0.500 0.000 0.000
La2 0.500 0.500 0.500
Np1 0.000 0.000 0.500
Np2 0.000 0.500 0.000
Se1 0.130 0.209 0.946
Se2 0.130 0.291 0.446
Se3 0.244 0.688 0.949
Se4 0.244 0.812 0.449
Se5 0.339 0.026 0.739
Se6 0.339 0.474 0.239
Se7 0.661 0.526 0.761
Se8 0.661 0.974 0.261
Se9 0.756 0.188 0.551
Se10 0.756 0.312 0.051
Se11 0.870 0.709 0.554
Se12 0.870 0.791 0.054

[2]
Compound: Ba4LaO5
Source: the Alexandria database
Functional: PBE
Structure: relaxed

## Properties
**Space group**: I4
**Total energy**: -63.04 eV for the cell shown
**Uncorrected formation energy**: -247 kJ per mole of atoms

Lattice parameters (Å, degrees): 6.753 6.753 6.753 99.72 99.72 131.47
Sites, in units of the cell vectors:
Ba1 0.102 0.700 0.801
Ba2 0.300 0.102 0.402
Ba3 0.700 0.898 0.598
Ba4 0.898 0.300 0.199
La1 0.481 0.481 0.000
O1 0.046 0.046 0.000
O2 0.230 0.408 0.639
O3 0.408 0.770 0.179
O4 0.591 0.230 0.821
O5 0.770 0.591 0.361

[3]
Compound: BaLaO
Source: the Alexandria database
Functional: PBE
Structure: relaxed

## Properties
**Space group**: P4/nmm
**Energy above the lowest structure with this stoichiometry**: 0.0 meV per atom
**Total energy**: -34.76 eV for the cell shown
**Uncorrected formation energy**: -179 kJ per mole of atoms

Lattice parameters (Å, degrees): 4.240 4.240 12.902 90.00 90.00 90.00
Sites, in units of the cell vectors:
Ba1 0.250 0.250 0.136
Ba2 0.750 0.750 0.864
La1 0.250 0.250 0.586
La2 0.750 0.750 0.414
O1 0.250 0.750 0.500
O2 0.750 0.250 0.500

[4]
Compound: BaLa2O
Source: the Alexandria database
Functional: PBE
Structure: relaxed

## Properties
**Space group**: I-42d
**Total energy**: -43.58 eV for the cell shown
**Uncorrected formation energy**: -122 kJ per mole of atoms

Lattice parameters (Å, degrees): 7.529 7.529 7.529 118.83 118.83 92.04
Sites, in units of the cell vectors:
Ba1 0.000 0.000 0.000
Ba2 0.750 0.250 0.500
La1 0.307 0.625 0.182
La2 0.375 0.557 0.682
La3 0.443 0.125 0.818
La4 0.875 0.693 0.318
O1 0.250 0.750 0.500
O2 0.500 0.500 0.000

[5]
Compound: Ba2LaO3
Source: the Alexandria database
Functional: PBE
Structure: relaxed

## Properties
**Space group**: R-3c
**Energy above the lowest structure with this stoichiometry**: 232.5 meV per atom
**Total energy**: -75.79 eV for the cell shown
**Uncorrected formation energy**: -229 kJ per mole of atoms

Lattice parameters (Å, degrees): 7.631 7.631 7.631 50.55 50.55 50.55
Sites, in units of the cell vectors:
Ba1 0.168 0.168 0.168
Ba2 0.332 0.332 0.332
Ba3 0.668 0.668 0.668
Ba4 0.832 0.832 0.832
La1 0.000 0.000 0.000
La2 0.500 0.500 0.500
O1 0.129 0.750 0.371
O2 0.250 0.629 0.871
O3 0.371 0.129 0.750
O4 0.629 0.871 0.250
O5 0.750 0.371 0.129
O6 0.871 0.250 0.629

[6]
Compound: Ba2LaO3
Source: the Alexandria database
Functional: PBE
Structure: relaxed

## Properties
**Space group**: C2/c
**Energy above the lowest structure with this stoichiometry**: 0.0 meV per atom
**Total energy**: -78.58 eV for the cell shown
**Uncorrected formation energy**: -252 kJ per mole of atoms

Lattice parameters (Å, degrees): 6.721 6.721 7.592 106.36 106.36 48.00
Sites, in units of the cell vectors:
Ba1 0.167 0.168 0.084
Ba2 0.168 0.167 0.584
Ba3 0.832 0.833 0.416
Ba4 0.833 0.832 0.916
La1 0.489 0.511 0.750
La2 0.511 0.489 0.250
O1 0.033 0.967 0.750
O2 0.360 0.363 0.431
O3 0.363 0.360 0.931
O4 0.637 0.640 0.069
O5 0.640 0.637 0.569
O6 0.967 0.033 0.250

[7]
Compound: BaLaO
Source: the Alexandria database
Functional: PBE
Structure: relaxed

## Properties
**Space group**: P-6m2
**Energy above the lowest structure with this stoichiometry**: 224.7 meV per atom
**Total energy**: -16.71 eV for the cell shown
**Uncorrected formation energy**: -158 kJ per mole of atoms

Lattice parameters (Å, degrees): 4.049 4.049 7.710 90.00 90.00 120.00
Sites, in units of the cell vectors:
Ba1 0.000 0.000 0.000
La1 0.667 0.333 0.500
O1 0.333 0.667 0.500

[8]
Compound: BaLa2O
Source: the Alexandria database
Functional: PBE
Structure: relaxed

## Properties
**Space group**: R-3m
**Total energy**: -21.53 eV for the cell shown
**Uncorrected formation energy**: -116 kJ per mole of atoms

Lattice parameters (Å, degrees): 10.320 10.320 10.320 21.34 21.34 21.34
Sites, in units of the cell vectors:
Ba1 0.000 0.000 0.000
La1 0.122 0.122 0.122
La2 0.878 0.878 0.878
O1 0.500 0.500 0.500

Question: The highest uncorrected formation energy belongs to which entry?
Answer: number 8

Question: What is the total energy in the eighth record?
Answer: -21.53 eV for the cell shown

Question: What is the uncorrected formation energy in the seventh record?
Answer: -158 kJ per mole of atoms